Entry from OQMD via LeMat-Bulk: B2PtAu after structural relaxation (PBE-GGA).

Total magnetization in μB per cell: 0.0
Final energy in eV per atom: -4.218

Structure (CIF):
```
data_B2PtAu
_space_group_name_H-M_alt 'F -4 3 m'
_space_group_IT_number 216
_space_group_name_Hall 'F -4 2 3'
_cell_length_a 5.954
_cell_length_b 5.954
_cell_length_c 5.954
_cell_angle_alpha 90.00
_cell_angle_beta 90.00
_cell_angle_gamma 90.00
loop_
_atom_site_label
_atom_site_type_symbol
_atom_site_fract_x
_atom_site_fract_y
_atom_site_fract_z
_atom_site_occupancy
B1 B 0.000 0.000 0.000 1
B2 B 0.250 0.250 0.250 1
Pt1 Pt 0.000 0.000 0.500 1
Au1 Au 0.250 0.250 0.750 1
```

Entry from OQMD via LeMat-Bulk: Pm2S3 after structural relaxation (PBE-GGA).

Total magnetization in μB per cell: 0.0
Final energy in eV per atom: -6.451
Energy relative to the lowest polymorph listed for this composition in meV/atom: 0

Structure (CIF):
```
data_Pm2S3
_space_group_name_H-M_alt 'P n m a'
_space_group_IT_number 62
_cell_length_a 10.947
_cell_length_b 3.998
_cell_length_c 10.660
_cell_angle_alpha 90.00
_cell_angle_beta 90.00
_cell_angle_gamma 90.00
loop_
_space_group_symop_operation_xyz
'x,y,z'
'-x,-y,-z'
'-x+1/2,-y,z+1/2'
'x+1/2,y,-z+1/2'
'x+1/2,-y+1/2,-z+1/2'
'-x+1/2,y+1/2,z+1/2'
'-x,y+1/2,-z'
'x,-y+1/2,z'
loop_
_atom_site_label
_atom_site_type_symbol
_atom_site_fract_x
_atom_site_fract_y
_atom_site_fract_z
_atom_site_occupancy
Pm1 Pm 0.009 0.250 0.186 1
Pm2 Pm 0.192 0.250 0.505 1
S1 S 0.046 0.750 0.374 1
S2 S 0.121 0.250 0.945 1
S3 S 0.229 0.750 0.699 1
```